Run P
# CrTe2Pt | the Alexandria database | GGA-PBE | optimized geometry
# density = 8.28 g cm⁻³
# magnetic moment = 6.7 μB per cell
data_CrTe2Pt
_chemical_formula_sum 'Cr2 Te4 Pt2'
_cell_length_a 3.656
_cell_length_b 3.671
_cell_length_c 15.014
_cell_angle_alpha 90.00
_cell_angle_beta 90.00
_cell_angle_gamma 90.00
_space_group_name_H-M_alt 'I m m 2'
_space_group_IT_number 44
loop_
_space_group_symop_operation_xyz
'x,y,z'
'-x,-y,z'
'-x,y,z'
'x,-y,z'
'x+1/2,y+1/2,z+1/2'
'-x+1/2,-y+1/2,z+1/2'
'-x+1/2,y+1/2,z+1/2'
'x+1/2,-y+1/2,z+1/2'
loop_
_atom_site_label
_atom_site_fract_x
_atom_site_fract_y
_atom_site_fract_z
Cr1 0.000 0.000 0.000
Te1 0.000 0.000 0.428
Te2 0.000 0.500 0.189
Pt1 0.000 0.500 0.637


Run Q
# CrTe2Pt | the Alexandria database | GGA-PBE | optimized geometry
# density = 7.50 g cm⁻³
# magnetic moment = 11.2 μB per cell
data_CrTe2Pt
_chemical_formula_sum 'Cr4 Te8 Pt4'
_cell_length_a 5.824
_cell_length_b 5.824
_cell_length_c 13.115
_cell_angle_alpha 90.00
_cell_angle_beta 90.00
_cell_angle_gamma 90.00
_space_group_name_H-M_alt 'I -4 2 d'
_space_group_IT_number 122
_space_group_name_Hall 'I -4 2bw'
loop_
_atom_site_label
_atom_site_fract_x
_atom_site_fract_y
_atom_site_fract_z
Cr1 0.000 0.000 0.000
Te1 0.249 0.250 0.125
Pt1 0.000 0.000 0.500


Run R
# CrTe2Pt | the Alexandria database | GGA-PBE | optimized geometry
# density = 10.25 g cm⁻³
# magnetic moment = 3.5 μB per cell
data_CrTe2Pt
_chemical_formula_sum 'Cr1 Te2 Pt1'
_cell_length_a 4.785
_cell_length_b 4.785
_cell_length_c 3.553
_cell_angle_alpha 90.00
_cell_angle_beta 90.00
_cell_angle_gamma 90.00
_space_group_name_H-M_alt 'P 4/m m m'
_space_group_IT_number 123
_space_group_name_Hall '-P 4 2'
loop_
_atom_site_label
_atom_site_fract_x
_atom_site_fract_y
_atom_site_fract_z
Cr1 0.000 0.000 0.000
Te1 0.000 0.500 0.500
Pt1 0.500 0.500 0.000


Most stable of them? run P.


Run P
# CrTe2Pt | the Alexandria database | GGA-PBE | optimized geometry
# density = 8.68 g cm⁻³
# magnetic moment = 2.9 μB per cell
data_CrTe2Pt
_chemical_formula_sum 'Cr1 Te2 Pt1'
_cell_length_a 3.650
_cell_length_b 3.650
_cell_length_c 7.215
_cell_angle_alpha 90.00
_cell_angle_beta 90.00
_cell_angle_gamma 90.00
_space_group_name_H-M_alt 'P 4 m m'
_space_group_IT_number 99
loop_
_space_group_symop_operation_xyz
'x,y,z'
'-y,x,z'
'-x,-y,z'
'y,-x,z'
'-x,y,z'
'y,x,z'
'x,-y,z'
'-y,-x,z'
loop_
_atom_site_label
_atom_site_fract_x
_atom_site_fract_y
_atom_site_fract_z
Cr1 0.000 0.000 0.000
Te1 0.000 0.000 0.365
Te2 0.500 0.500 0.844
Pt1 0.500 0.500 0.213


Run Q
# CrTe2Pt | the Alexandria database | GGA-PBE | optimized geometry
# density = 9.91 g cm⁻³
# magnetic moment = 7.2 μB per cell
data_CrTe2Pt
_chemical_formula_sum 'Cr2 Te4 Pt2'
_cell_length_a 4.048
_cell_length_b 4.048
_cell_length_c 10.270
_cell_angle_alpha 90.00
_cell_angle_beta 90.00
_cell_angle_gamma 90.00
_space_group_name_H-M_alt 'I -4 m 2'
_space_group_IT_number 119
_space_group_name_Hall 'I -4 -2'
loop_
_atom_site_label
_atom_site_fract_x
_atom_site_fract_y
_atom_site_fract_z
Cr1 0.000 0.000 0.000
Te1 0.000 0.000 0.500
Te2 0.000 0.500 0.250
Pt1 0.000 0.500 0.750


Run R
# CrTe2Pt | the Alexandria database | GGA-PBE | optimized geometry
# density = 8.99 g cm⁻³
# magnetic moment = 7.9 μB per cell
data_CrTe2Pt
_chemical_formula_sum 'Cr2 Te4 Pt2'
_cell_length_a 5.564
_cell_length_b 5.564
_cell_length_c 5.992
_cell_angle_alpha 90.00
_cell_angle_beta 90.00
_cell_angle_gamma 90.00
_space_group_name_H-M_alt 'I 4/m m m'
_space_group_IT_number 139
_space_group_name_Hall '-I 4 2'
loop_
_atom_site_label
_atom_site_fract_x
_atom_site_fract_y
_atom_site_fract_z
Cr1 0.000 0.000 0.000
Te1 0.000 0.500 0.000
Pt1 0.000 0.000 0.500


Most stable of them? run P.


Run P
# CrTe2Pt | the Alexandria database | GGA-PBE | optimized geometry
# density = 8.00 g cm⁻³
# magnetic moment = 7.1 μB per cell
data_CrTe2Pt
_chemical_formula_sum 'Cr2 Te4 Pt2'
_cell_length_a 3.981
_cell_length_b 4.065
_cell_length_c 12.888
_cell_angle_alpha 90.00
_cell_angle_beta 90.00
_cell_angle_gamma 90.00
_space_group_name_H-M_alt 'I m m m'
_space_group_IT_number 71
_space_group_name_Hall '-I 2 2'
loop_
_atom_site_label
_atom_site_fract_x
_atom_site_fract_y
_atom_site_fract_z
Cr1 0.000 0.000 0.000
Te1 0.000 0.500 0.143
Pt1 0.000 0.000 0.500


Run Q
# CrTe2Pt | the Alexandria database | GGA-PBE | optimized geometry
# density = 9.05 g cm⁻³
# magnetic moment = 6.8 μB per cell
data_CrTe2Pt
_chemical_formula_sum 'Cr2 Te4 Pt2'
_cell_length_a 4.781
_cell_length_b 5.357
_cell_length_c 7.199
_cell_angle_alpha 90.00
_cell_angle_beta 90.00
_cell_angle_gamma 90.00
_space_group_name_H-M_alt 'A m m 2'
_space_group_IT_number 38
loop_
_space_group_symop_operation_xyz
'x,y,z'
'-x,-y,z'
'-x,y,z'
'x,-y,z'
'x,y+1/2,z+1/2'
'-x,-y+1/2,z+1/2'
'-x,y+1/2,z+1/2'
'x,-y+1/2,z+1/2'
loop_
_atom_site_label
_atom_site_fract_x
_atom_site_fract_y
_atom_site_fract_z
Cr1 0.000 0.000 0.000
Te1 0.000 0.000 0.390
Te2 0.500 0.000 0.813
Pt1 0.500 0.000 0.201


Run R
# CrTe2Pt | the Alexandria database | GGA-PBE | optimized geometry
# density = 10.56 g cm⁻³
# magnetic moment = 0.0 μB per cell
data_CrTe2Pt
_chemical_formula_sum 'Cr3 Te6 Pt3'
_cell_length_a 3.4827
_cell_length_b 3.4827
_cell_length_c 22.5520
_cell_angle_alpha 90.00
_cell_angle_beta 90.00
_cell_angle_gamma 120.00
_space_group_name_H-M_alt 'R -3 m'
_space_group_IT_number 166
_space_group_name_Hall '-R 3 2"'
loop_
_atom_site_label
_atom_site_fract_x
_atom_site_fract_y
_atom_site_fract_z
Cr1 0.0000 0.0000 0.0000
Te1 0.0000 0.0000 0.2540
Pt1 0.0000 0.0000 0.5000


Most stable of them? run P.


Run P
# Ti2CrPt | the Alexandria database | GGA-PBE | optimized geometry
# density = 9.64 g cm⁻³
# magnetic moment = 0.2 μB per cell
data_Ti2CrPt
_chemical_formula_sum 'Ti2 Cr1 Pt1'
_cell_length_a 3.103
_cell_length_b 3.103
_cell_length_c 6.132
_cell_angle_alpha 90.00
_cell_angle_beta 90.00
_cell_angle_gamma 90.00
_space_group_name_H-M_alt 'P 4/m m m'
_space_group_IT_number 123
_space_group_name_Hall '-P 4 2'
loop_
_atom_site_label
_atom_site_fract_x
_atom_site_fract_y
_atom_site_fract_z
Ti1 0.000 0.000 0.233
Cr1 0.500 0.500 0.000
Pt1 0.500 0.500 0.500


Run Q
# Ti2CrPt | the Alexandria database | GGA-PBE | optimized geometry
# density = 8.68 g cm⁻³
# magnetic moment = 0.0 μB per cell
data_Ti2CrPt
_chemical_formula_sum 'Ti8 Cr4 Pt4'
_cell_length_a 3.894
_cell_length_b 3.894
_cell_length_c 17.306
_cell_angle_alpha 90.00
_cell_angle_beta 90.00
_cell_angle_gamma 90.00
_space_group_name_H-M_alt 'I -4 2 d'
_space_group_IT_number 122
_space_group_name_Hall 'I -4 2bw'
loop_
_atom_site_label
_atom_site_fract_x
_atom_site_fract_y
_atom_site_fract_z
Ti1 0.239 0.250 0.125
Cr1 0.000 0.000 0.000
Pt1 0.000 0.000 0.500


Run R
# Ti2CrPt | the Alexandria database | GGA-PBE | optimized geometry
# density = 9.71 g cm⁻³
# magnetic moment = 0.0 μB per cell
data_Ti2CrPt
_chemical_formula_sum 'Ti8 Cr4 Pt4'
_cell_length_a 6.168
_cell_length_b 6.168
_cell_length_c 6.168
_cell_angle_alpha 90.00
_cell_angle_beta 90.00
_cell_angle_gamma 90.00
_space_group_name_H-M_alt 'F m -3 m'
_space_group_IT_number 225
_space_group_name_Hall '-F 4 2 3'
loop_
_atom_site_label
_atom_site_fract_x
_atom_site_fract_y
_atom_site_fract_z
Ti1 0.250 0.250 0.250
Cr1 0.000 0.000 0.000
Pt1 0.000 0.000 0.500


Most stable of them? run P.